Below is crystalline Bi2HRu at its relaxed geometry, with properties calculated at the PBE level.

a = 5.8960 Å, b = 5.8960 Å, c = 5.8960 Å
α = 112.33°, β = 112.33°, γ = 103.90°
Closest atoms and distances in Å follow each position.
Fractional coordinates of all 8 atoms:
Bi 0.0707 0.1250 0.4457  2 H 2.27
Bi 0.3750 0.9293 0.0543  2 H 2.27
Bi 0.6793 0.6250 0.5543  2 H 2.27
Bi 0.8750 0.3207 0.9457  2 H 2.27
H 0.0000 0.0000 0.0000  4 Bi 2.27
H 0.7500 0.2500 0.5000  4 Bi 2.27
Ru 0.2500 0.7500 0.5000  4 Bi 2.74
Ru 0.5000 0.5000 0.0000  4 Bi 2.74

Output
electronic total energy = -4.5219 eV per atom
calculated volume = 157 Å³/cell
relative energy among the computed polymorphs = 23 meV per atom
total moment = 0.000 μB per formula unit
symmetry = No. 122



Below is crystalline MgAgAu2 at its relaxed geometry, with properties calculated at the PBE level.

a = 5.0792 Å, b = 5.0792 Å, c = 4.8644 Å
α = 101.68°, β = 101.68°, γ = 36.08°
Closest atoms and distances in Å follow each position.
Fractional coordinates of all 4 atoms:
Mg 0.0000 0.0000 0.0000  7 Au 2.84-2.92, 3 Ag 2.95-2.97, 2 Mg 3.15
Ag 0.7533 0.7533 0.2688  7 Au 2.87-2.92, 3 Mg 2.95-2.97, 2 Ag 3.15
Au 0.2572 0.2572 0.7758  3 Mg 2.84-2.92, 4 Ag 2.87-2.92, 5 Au 2.96-3.15
Au 0.5050 0.5050 0.5038  3 Ag 2.87-2.92, 4 Mg 2.89-2.90, 5 Au 2.96-3.15

Output
electronic total energy = -3.0437 eV per atom
calculated volume = 72 Å³/cell
energy of formation = -0.294 eV per atom
total moment = 0.000 μB per formula unit
symmetry = No. 8